Record 1
ZnSnHPd4: relaxed, PBE-GGA.

Summary:
calculated density = 9.77 g/cm³
spin magnetization = 0.00 Bohr magnetons per cell
E = -4.538 eV per atom
N(E_F) = 1.6 states/eV/f.u.

Unit cell a=7.3410 b=7.3410 c=5.5367 alpha=90.00 beta=90.00 gamma=135.88
Fractional coordinates of all 14 atoms:
Zn (0.1119, 0.8881, 0.7500)
Zn (0.8881, 0.1119, 0.2500)
Sn (0.3949, 0.6051, 0.7500)
Sn (0.6051, 0.3949, 0.2500)
H (0.2483, 0.7517, 0.2500)
H (0.7517, 0.2483, 0.7500)
Pd (0.0000, 0.5000, 0.0000)
Pd (0.0000, 0.5000, 0.5000)
Pd (0.0751, 0.9249, 0.2500)
Pd (0.4146, 0.5854, 0.2500)
Pd (0.5000, 0.0000, 0.0000)
Pd (0.5000, 0.0000, 0.5000)
Pd (0.5854, 0.4146, 0.7500)
Pd (0.9249, 0.0751, 0.7500)


Record 2
ZrSnHPd2: relaxed, PBE-GGA.

Summary:
calculated density = 9.21 g/cm³
spin magnetization = 0.00 Bohr magnetons per cell
E = -5.704 eV per atom
N(E_F) = 4.4 states/eV/f.u.

Unit cell a=4.1521 b=4.1521 c=4.4334 alpha=90.00 beta=90.00 gamma=90.00
Fractional coordinates of all 5 atoms:
Zr (0.0000, 0.0000, 0.0000)
Sn (0.5000, 0.5000, 0.0000)
H (0.0000, 0.0000, 0.5000)
Pd (0.0000, 0.5000, 0.5000)
Pd (0.5000, 0.0000, 0.5000)


Record 3
SrH3Pd: relaxed, PBE-GGA.

Summary:
calculated density = 5.10 g/cm³
spin magnetization = 0.00 Bohr magnetons per cell
E = -3.719 eV per atom
N(E_F) = 0.0 states/eV/f.u.

Unit cell a=5.6225 b=5.6225 c=5.6225 alpha=124.28 beta=95.48 gamma=109.95
Fractional coordinates of all 10 atoms:
Sr (0.0000, 0.0000, 0.0000)
Sr (0.5000, 0.0000, 0.5000)
H (0.0000, 0.0000, 0.5000)
H (0.0000, 0.5000, 0.0000)
H (0.2101, 0.6238, 0.5863)
H (0.4625, 0.3762, 0.0863)
H (0.5375, 0.6238, 0.9137)
H (0.7899, 0.3762, 0.4137)
Pd (0.2003, 0.4503, 0.7500)
Pd (0.7997, 0.5497, 0.2500)


Question: Which formula does entry 3 have?
Answer: SrH3Pd


Question: Which of these has the highest E?
Answer: SrH3Pd